[1]
## CsNdAuS2 (PBE)

Data for a geometry-optimized CsNdAuS2 structure.

Calculated values
Raw formation energy: -5.75 eV/f.u.
Crystal system: monoclinic

Unit cell a=8.0481 b=5.1653 c=8.0487 alpha=90.00 beta=101.49 gamma=90.00
Last column: nearest neighbours and their distance in Å.
Fractional positions:
Cs  0.0000  0.1719  0.2500  6 S 3.58-3.63
Cs  0.0000  0.8281  0.7500  6 S 3.58-3.63
Nd  0.5000  0.4937  0.7500  4 S 2.82-2.83
Nd  0.5000  0.5063  0.2500  4 S 2.82-2.83
Au  0.5000  0.0000  0.0000  2 S 2.41
Au  0.5000  0.0000  0.5000  2 S 2.41
S  0.2780  0.3212  0.9582  1 Au 2.41
S  0.2780  0.6788  0.4582  1 Au 2.41
S  0.7220  0.3212  0.5418  1 Au 2.41
S  0.7220  0.6788  0.0418  1 Au 2.41

---

[2]
## CsNdSb2Au2 (PBE)

Data for a geometry-optimized CsNdSb2Au2 structure.

Calculated values
Raw formation energy: -4.36 eV/f.u.
Crystal system: trigonal

Unit cell a=4.7270 b=4.7270 c=9.9785 alpha=90.00 beta=90.00 gamma=120.00
Last column: nearest neighbours and their distance in Å.
Fractional positions:
Cs  0.0000  0.0000  0.0000  6 Sb 3.97, 6 Au 4.24
Nd  0.0000  0.0000  0.5000  6 Au 3.24, 6 Sb 3.45
Sb  0.3333  0.6667  0.7115  3 Au 2.75
Sb  0.6667  0.3333  0.2885  3 Au 2.75
Au  0.3333  0.6667  0.3250  3 Sb 2.75
Au  0.6667  0.3333  0.6750  3 Sb 2.75

---

[3]
## CsNdAuSe2 (PBE)

Data for a geometry-optimized CsNdAuSe2 structure.

Calculated values
Raw formation energy: -5.52 eV/f.u.
Crystal system: monoclinic

Unit cell a=8.4826 b=5.1029 c=8.3385 alpha=90.00 beta=99.31 gamma=90.00
Last column: nearest neighbours and their distance in Å.
Fractional positions:
Cs  0.0000  0.1518  0.2500  6 Se 3.67-3.73
Cs  0.0000  0.8482  0.7500  6 Se 3.67-3.73
Nd  0.5000  0.4938  0.7500  4 Se 2.94-2.95, 2 Au 3.27
Nd  0.5000  0.5062  0.2500  4 Se 2.94-2.95, 2 Au 3.27
Au  0.5000  0.0000  0.0000  2 Se 2.58
Au  0.5000  0.0000  0.5000  2 Se 2.58
Se  0.2714  0.3391  0.9644  1 Au 2.58
Se  0.2714  0.6609  0.4644  1 Au 2.58
Se  0.7286  0.3391  0.5356  1 Au 2.58
Se  0.7286  0.6609  0.0356  1 Au 2.58

---

[4]
## CsNdTe3Au (PBE)

Data for a geometry-optimized CsNdTe3Au structure.

Calculated values
Raw formation energy: -5.69 eV/f.u.
Crystal system: orthorhombic

Unit cell a=9.3444 b=9.3444 c=11.5198 alpha=90.00 beta=90.00 gamma=152.73
Last column: nearest neighbours and their distance in Å.
Fractional positions:
Cs  0.2487  0.7513  0.7500  8 Te 3.88-4.31
Cs  0.7513  0.2487  0.2500  8 Te 3.88-4.31
Nd  0.0000  0.0000  0.0000  6 Te 3.17-3.18
Nd  0.0000  0.0000  0.5000  6 Te 3.17-3.18
Te  0.0726  0.9274  0.2500  2 Au 2.83, 2 Nd 3.17
Te  0.3798  0.6202  0.0614  1 Au 2.78
Te  0.3798  0.6202  0.4386  1 Au 2.78
Te  0.6202  0.3798  0.5614  1 Au 2.78
Te  0.6202  0.3798  0.9386  1 Au 2.78
Te  0.9274  0.0726  0.7500  2 Au 2.83, 2 Nd 3.17
Au  0.4749  0.5251  0.2500  4 Te 2.78-2.83
Au  0.5251  0.4749  0.7500  4 Te 2.78-2.83

---

[5]
## CsNdTe2Au (PBE)

Data for a geometry-optimized CsNdTe2Au structure.

Calculated values
Raw formation energy: -4.54 eV/f.u.
Crystal system: monoclinic

Unit cell a=9.3629 b=5.0380 c=8.6662 alpha=90.00 beta=98.49 gamma=90.00
Last column: nearest neighbours and their distance in Å.
Fractional positions:
Cs  0.0000  0.1780  0.2500  6 Te 3.84-3.85
Cs  0.0000  0.8220  0.7500  6 Te 3.84-3.85
Nd  0.5000  0.4955  0.7500  4 Te 3.17-3.18, 4 Au 3.31-3.34
Nd  0.5000  0.5045  0.2500  4 Te 3.17-3.18, 4 Au 3.31-3.34
Te  0.2691  0.3201  0.9651  1 Au 2.68
Te  0.2691  0.6799  0.4651  1 Au 2.68
Te  0.7309  0.3201  0.5349  1 Au 2.68
Te  0.7309  0.6799  0.0349  1 Au 2.68
Au  0.5000  0.0000  0.0000  2 Te 2.68
Au  0.5000  0.0000  0.5000  2 Te 2.68

---

[6]
## Cs2NiAu (PBE)

Data for a geometry-optimized Cs2NiAu structure.

Calculated values
Crystal system: tetragonal
DFT formation energy: 556.5 meV/atom

Unit cell a=10.2027 b=10.2027 c=10.2027 alpha=132.36 beta=132.36 gamma=69.66
Last column: nearest neighbours and their distance in Å.
Fractional positions:
Cs  0.1192  0.6250  0.9942  2 Au 3.56, 2 Ni 3.62
Cs  0.3750  0.3692  0.4942  2 Au 3.56, 2 Ni 3.62
Cs  0.6308  0.1250  0.0058  2 Au 3.56, 2 Ni 3.62
Cs  0.8750  0.8808  0.5058  2 Au 3.56, 2 Ni 3.62
Ni  0.2500  0.7500  0.5000  4 Cs 3.62
Ni  0.5000  0.5000  0.0000  4 Cs 3.62
Au  0.0000  0.0000  0.0000  4 Cs 3.56
Au  0.7500  0.2500  0.5000  4 Cs 3.56